Here is an optimized crystal structure of MnPdS4 from Alexandria via LeMat-Bulk. Energies are from PBE.

Calculated values
uncorrected formation energy = -0.328 eV per atom
N(E_F) = 1.71 states/eV per cell
space group = Imma (74)

Structure (POSCAR):
```
MnPdS4
1.0
-4.218 1.790 4.928
-5.502 -2.864 -3.669
-4.101 -4.824 2.837
S Pd Mn
8 2 2
direct
0.753 0.278 0.993 S
0.247 0.271 0.007 S
0.249 0.261 0.478 S
0.751 0.739 0.522 S
0.753 0.729 0.993 S
0.774 0.261 0.478 S
0.247 0.722 0.007 S
0.226 0.739 0.522 S
0.000 0.500 0.500 Pd
0.000 0.000 0.500 Pd
0.500 0.500 0.000 Mn
0.000 0.500 0.000 Mn
```